No. 1
Material: TlHSCl2
Method: DFT, PBE
State: relaxed

Unit cell a=5.5997 b=5.5997 c=3.3573 alpha=90.00 beta=90.00 gamma=90.00
With the nearest neighbours (Å) after each atom.
Space group P4/mmm (No. 123)
Asymmetric unit:
1 Tl 0.0000 0.0000 0.0000 x1  8 Cl 3.26, 2 Tl 3.36
2 H 0.5000 0.5000 0.5000 x1  2 S 1.68
3 S 0.5000 0.5000 0.0000 x1  2 H 1.68
4 Cl 0.0000 0.5000 0.5000 x2  2 H 2.80

Values from the calculation:
For the energy above the most stable polymorph in this dataset, the calculation gives 0.000 eV/f.u.

No. 2
Material: UH3S2Cl6
Method: DFT, PBE
State: relaxed

Unit cell a=10.5544 b=6.3164 c=9.6443 alpha=90.00 beta=100.47 gamma=90.00
With the nearest neighbours (Å) after each atom.
Space group C2/m (No. 12)
Asymmetric unit:
1 U 0.0000 0.0000 0.0000 x2  6 Cl 2.43-2.49
2 H 0.0000 0.5000 0.5000 x2  2 S 1.78
3 H 0.2500 0.2500 0.5000 x4  2 S 1.80
4 S 0.1682 0.5000 0.4998 x4  3 H 1.78-1.80
5 Cl 0.0801 0.0000 0.7725 x4  1 U 2.49
6 Cl 0.1517 0.2620 0.1163 x8  1 U 2.43

Values from the calculation:
The uncorrected energy is -0.2927 Ry/atom.

No. 3
Material: VHS2Cl
Method: DFT, PBE
State: relaxed

Unit cell a=4.4853 b=4.4853 c=4.8961 alpha=90.00 beta=90.00 gamma=90.00
With the nearest neighbours (Å) after each atom.
Space group P4/mmm (No. 123)
Asymmetric unit:
1 V 0.0000 0.0000 0.0000 x1  4 S 2.24, 2 Cl 2.45
2 H 0.5000 0.5000 0.5000 x1  4 Cl 3.17, 8 S 3.32
3 S 0.0000 0.5000 0.0000 x2  2 V 2.24
4 Cl 0.0000 0.0000 0.5000 x1  2 V 2.45

Values from the calculation:
For the energy above the most stable polymorph in this dataset, the calculation gives 0.000 eV/f.u.

No. 4
Material: VHSCl2
Method: DFT, PBE
State: relaxed

Unit cell a=4.8611 b=4.8611 c=3.2230 alpha=90.00 beta=90.00 gamma=90.00
With the nearest neighbours (Å) after each atom.
Space group P4/mmm (No. 123)
Asymmetric unit:
1 V 0.0000 0.0000 0.0000 x1  8 Cl 2.92, 2 V 3.22
2 H 0.5000 0.5000 0.5000 x1  2 S 1.61
3 S 0.5000 0.5000 0.0000 x1  2 H 1.61
4 Cl 0.0000 0.5000 0.5000 x2  2 H 2.43

Values from the calculation:
For the energy above the most stable polymorph in this dataset, the calculation gives 3.421 eV/f.u.